4
Lattice="4.357 0.000 0.000 0.000 4.357 0.000 0.000 0.000 4.346" Properties=species:S:1:pos:R:3 comment="Hf2InAg GGA-PBE optimized geometry" crystal_system=tetragonal ef_ev_per_atom=-0.055 n_ef_per_ev_fu=4.09 pbc="T T T"
Hf 0.000 2.179 0.000
Hf 2.179 0.000 0.000
In 0.000 0.000 2.173
Ag 2.179 2.179 2.173